# HgIrBr2 PBE relaxed
data_HgIrBr2
_cell_length_a 7.220
_cell_length_b 7.220
_cell_length_c 7.220
_cell_angle_alpha 148.94
_cell_angle_beta 148.94
_cell_angle_gamma 44.50
_space_group_name_H-M_alt 'P 1'
_space_group_IT_number 1
loop_
_space_group_symop_operation_xyz
'x,y,z'
loop_
_atom_site_label
_atom_site_type_symbol
_atom_site_fract_x
_atom_site_fract_y
_atom_site_fract_z
Ir1 Ir 0.250 0.750 0.500
Hg1 Hg 0.500 0.500 0.000
Br1 Br 0.000 0.000 0.000
Br2 Br 0.750 0.250 0.500
# Formation energy (no corrections) (eV/atom): 0.84
# Energy above the most stable polymorph in this dataset (kJ per mole of atoms): 73.3
# Total DFT energy (no corrections) (eV per atom): -2.29
# V (Å³ per atom): 24.97
# Space group: I-4m2 (119)
# Spin magnetization (μB/f.u.): 1.08